Entry 1:
Computed, not measured: a relaxed Pm3Mg2Rh4 crystal at the PBE level of DFT.

a b c (Å): 4.286 5.551 8.818
angles (deg): 95.66 90.00 112.71
Sites, in units of the cell vectors:
Mg 0.320 0.640 0.214
Rh 0.704 0.408 0.089
Pm 0.624 0.248 0.382
Rh 0.296 0.592 0.911
Mg 0.680 0.360 0.786
Pm 0.000 0.000 0.000
Pm 0.376 0.752 0.618
Rh 0.091 0.182 0.627
Rh 0.909 0.818 0.373

Computed properties:
- total DFT energy (no corrections) (eV per cell) = -52.14
- magnetization (Bohr magnetons per cell) = 0.00
- ρ (g/cm3) = 7.73
- SG = C2/m, No. 12

=====

Entry 2:
Computed, not measured: a relaxed KRu2C2 crystal at the PBE level of DFT.

a b c (Å): 3.835 3.835 6.504
angles (deg): 72.85 72.85 90.00
Sites, in units of the cell vectors:
C 0.690 0.690 0.620
Ru 0.750 0.250 0.500
C 0.310 0.310 0.380
K 0.000 0.000 0.000
Ru 0.250 0.750 0.500

Computed properties:
- total DFT energy (no corrections) (eV per cell) = -36.29
- energy relative to the lowest polymorph listed for this composition (eV per atom) = 0.0000
- magnetization (Bohr magnetons per cell) = 0.00
- ρ (g/cm3) = 5.07
- SG = I4/mmm, No. 139

=====

Entry 3:
Computed, not measured: a relaxed FeOsRh2 crystal at the PBE level of DFT.

a b c (Å): 5.312 5.312 6.629
angles (deg): 66.38 66.38 90.00
Sites, in units of the cell vectors:
Os 0.750 0.250 0.500
Rh 0.146 0.625 0.250
Fe 0.250 0.750 0.500
Os 0.000 0.000 0.000
Rh 0.875 0.854 0.750
Rh 0.375 0.396 0.750
Fe 0.500 0.500 0.000
Rh 0.604 0.125 0.250

Computed properties:
- total DFT energy (no corrections) (eV per cell) = -59.21
- energy relative to the lowest polymorph listed for this composition (eV per atom) = 1.1843
- magnetization (Bohr magnetons per cell) = 0.00
- ρ (g/cm3) = 9.74
- SG = I-42d, No. 122